BaSc2Pb2 | meta-GGA SCAN | PBEsol geometry

Cell and atoms, written as POSCAR:
```
BaSc2Pb2
1.0
-1.365 0.939 -4.575
-2.410 -4.224 -0.148
-3.494 4.635 4.582
Pb Sc Ba
2 2 1
Direct
0.377 0.377 0.754
0.623 0.623 0.246
0.250 0.750 0.500
0.750 0.250 0.500
0.000 0.000 0.000
```

Output
DOS(E_F) = 2.17 states/eV/cell
E_form = -0.644 eV/atom
Symmetry = I4/mmm (139)

---

Ba2ScPb | meta-GGA SCAN | PBEsol geometry

Cell and atoms, written as POSCAR:
```
Ba2ScPb
1.0
-1.997 0.239 3.135
5.222 -1.293 3.426
-1.021 6.194 -1.122
Ba Pb Sc
2 1 1
Direct
0.000 0.500 0.000
0.000 0.000 0.500
0.500 0.000 0.000
0.500 0.500 0.500
```

Output
DOS(E_F) = 4.30 states/eV/cell
E_form = -0.081 eV/atom
Symmetry = Cmmm (65)

---

Ba2ScPb | meta-GGA SCAN | PBEsol geometry

Cell and atoms, written as POSCAR:
```
Ba2ScPb
1.0
-3.544 -0.353 2.300
2.638 -3.939 3.461
1.849 4.324 3.512
Ba Pb Sc
2 1 1
Direct
0.000 0.000 0.500
0.000 0.500 0.000
0.500 0.500 0.500
0.500 0.000 0.000
```

Output
DOS(E_F) = 5.04 states/eV/cell
E_form = -0.075 eV/atom
Symmetry = P4/mmm (123)

---

BaPbSe2 | meta-GGA SCAN | PBEsol geometry

Cell and atoms, written as POSCAR:
```
BaPbSe2
1.0
4.486 0.000 0.000
2.243 3.885 0.000
2.243 1.295 7.314
Pb Ba Se
1 1 2
Direct
0.500 0.500 0.500
0.000 0.000 0.000
0.755 0.755 0.736
0.245 0.245 0.264
```

Output
DOS(E_F) = 0.00 states/eV/cell
ΔE_f (raw) = -5.646 eV per formula unit
Symmetry = R-3m (166)

---

BaPbSe2 | meta-GGA SCAN | PBEsol geometry

Cell and atoms, written as POSCAR:
```
BaPbSe2
1.0
-0.979 2.467 -3.439
1.303 -1.191 -3.970
-7.745 -4.306 -3.628
Pb Ba Se
1 1 2
Direct
0.500 0.500 0.500
0.000 0.000 0.000
0.892 0.892 0.324
0.108 0.108 0.676
```

Output
DOS(E_F) = 4.25 states/eV/cell
ΔE_f (raw) = -2.228 eV per formula unit
Symmetry = R-3m (166)

---

BaPb3Se | meta-GGA SCAN | PBEsol geometry

Cell and atoms, written as POSCAR:
```
BaPb3Se
1.0
5.672 0.000 0.000
0.000 5.672 0.000
0.000 0.000 5.672
Pb Ba Se
3 1 1
Direct
0.000 0.500 0.000
0.000 0.000 0.500
0.500 0.000 0.000
0.500 0.500 0.500
0.000 0.000 0.000
```

Output
DOS(E_F) = 2.47 states/eV/cell
ΔE_f (raw) = -1.001 eV per formula unit
Symmetry = Pm-3m (221)

---

- Among the records above, which one has the lowest DOS(E_F)?
  number 4

---

- Which of these has the lowest DOS(E_F)?
  number 4